Here is a geometry-optimized Np2ReP structure from Alexandria. Energies are from PBE.

The structure belongs to space group R-3m (No. 166, hexagonal axes); the cell edges are 3.1930, 3.1930 and 26.8162 Å and the angles 90.00°, 90.00° and 120.00°. The distinct sites, in fractional coordinates, are Np at (0.0000, 0.0000, 0.0940), Re at (0.0000, 0.0000, 0.0000) and P at (0.0000, 0.0000, 0.5000).

For the total DFT energy (no corrections), the calculation gives -41.86 eV/f.u. As for the total magnetic moment: 5.84 μB/f.u. For the density of states at the Fermi level, the calculation gives 23.105 states/eV per cell. The calculation puts the formation energy at 0.47 eV/atom.

---

Here is a geometry-optimized TeMoPt2 structure from Alexandria. Energies are from PBE.

The structure belongs to space group P4/mmm (No. 123); the cell edges are 3.946, 3.946 and 4.417 Å and the angles 90.00°, 90.00° and 90.00°. The distinct sites, in fractional coordinates, are Te at (0.000, 0.000, 0.000), Mo at (0.500, 0.500, 0.000) and Pt at (0.000, 0.500, 0.500).

For the total DFT energy (no corrections), the calculation gives -25.30 eV/f.u. As for the total magnetic moment: 0.02 μB/f.u. For the density of states at the Fermi level, the calculation gives 3.440 states/eV per cell.

---

Here is a geometry-optimized YTa2TiCl structure from Alexandria. Energies are from PBE.

The structure belongs to space group P4/mmm (No. 123); the cell edges are 4.633, 4.633 and 5.988 Å and the angles 90.00°, 90.00° and 90.00°. The distinct sites, in fractional coordinates, are Y at (0.000, 0.000, 0.000), Ta at (0.000, 0.500, 0.500), Ti at (0.000, 0.000, 0.500) and Cl at (0.500, 0.500, 0.000).

For the total DFT energy (no corrections), the calculation gives -34.69 eV/f.u. As for the total magnetic moment: 0.00 μB/f.u. For the density of states at the Fermi level, the calculation gives 4.890 states/eV per cell.

---

Here is a geometry-optimized Th2Ge4Ru3 structure from Alexandria. Energies are from PBE.

The structure belongs to space group Cmce (No. 64); the cell edges are 5.969, 14.982 and 7.465 Å and the angles 90.00°, 90.00° and 90.00°. The distinct sites, in fractional coordinates, are Th at (0.000, 0.114, 0.089), Ge at (0.000, 0.181, 0.480), Ge at (0.250, 0.056, 0.750), Ru at (0.000, 0.000, 0.500) and Ru at (0.250, 0.227, 0.750).

For the total DFT energy (no corrections), the calculation gives -66.53 eV/f.u. As for the total magnetic moment: 0.00 μB/f.u. For the density of states at the Fermi level, the calculation gives 28.467 states/eV per cell. The calculation puts the formation energy at -0.60 eV/atom.

---

Here is a geometry-optimized Er2CoGe3 structure from Alexandria. Energies are from PBE.

The structure belongs to space group Cm (No. 8); the cell edges are 10.309, 4.197 and 6.853 Å and the angles 90.00°, 130.29° and 90.00°. The distinct sites, in fractional coordinates, are Er at (0.000, 0.000, 0.000), Er at (0.116, 0.000, 0.594), Co at (0.379, 0.000, 0.549), Ge at (0.164, 0.500, 0.924), Ge at (0.250, 0.500, 0.424) and Ge at (0.377, 0.000, 0.193).

As for the energy above the lowest structure with this stoichiometry: 0.000 eV per atom. For the total DFT energy (no corrections), the calculation gives -33.86 eV/f.u. As for the total magnetic moment: 0.00 μB/f.u. For the density of states at the Fermi level, the calculation gives 6.388 states/eV per cell. The calculation puts the formation energy at -0.63 eV/atom.

---

Here is a geometry-optimized CeMn3C2 structure from Alexandria. Energies are from PBE.

The structure belongs to space group C2/m (No. 12); the cell edges are 12.072, 3.560 and 7.239 Å and the angles 90.00°, 116.56° and 90.00°. The distinct sites, in fractional coordinates, are Ce at (0.132, 0.000, 0.044), Mn at (0.062, 0.000, 0.409), Mn at (0.100, 0.500, 0.668), Mn at (0.213, 0.500, 0.403), C at (0.033, 0.500, 0.251) and C at (0.177, 0.000, 0.724).

For the total DFT energy (no corrections), the calculation gives -52.75 eV/f.u. As for the total magnetic moment: 0.00 μB/f.u. For the density of states at the Fermi level, the calculation gives 10.311 states/eV per cell. The calculation puts the formation energy at -0.14 eV/atom.

---

Number 1: density 14.54 g/cm3. Number 2: density 14.81 g/cm3. Number 3: density 6.90 g/cm3. Number 4: density 10.53 g/cm3. Number 5: density 8.98 g/cm3. Number 6: density 7.85 g/cm3.